Entry 1:
Computed, not measured: an optimized crystal structure of Y2ZnO2 at the PBE level of DFT.

Calculated values
Energy relative to the elements, uncorrected: -2.36 eV/atom
DOS at the Fermi energy: 1.57 states/eV per cell
Total energy: -35.91 eV/cell
Crystal system: tetragonal

Unit cell a=6.497 b=6.497 c=6.497 alpha=144.35 beta=144.35 gamma=51.30
Sites, in units of the cell vectors:
Y 0.158 0.158 0.000
Y 0.842 0.842 0.000
Zn 0.500 0.500 0.000
O 0.250 0.750 0.500
O 0.750 0.250 0.500



Entry 2:
Computed, not measured: an optimized crystal structure of Tl2Pd2Au at the PBE level of DFT.

Calculated values
DOS at the Fermi energy: 2.63 states/eV per cell
Total energy: -18.80 eV/cell
ΔH_f (0 K): -0.0812 eV/atom
Relative energy among the computed polymorphs: 13 meV per atom
Crystal system: orthorhombic

Unit cell a=5.493 b=5.493 c=5.493 alpha=131.71 beta=116.97 gamma=83.17
Sites, in units of the cell vectors:
Tl 0.196 0.196 0.000
Tl 0.804 0.804 0.000
Pd 0.237 0.500 0.737
Pd 0.763 0.500 0.263
Au 0.500 0.000 0.500



Entry 3:
Computed, not measured: an optimized crystal structure of K2SnH4 at the PBE level of DFT.

Calculated values
DOS at the Fermi energy: 0.00 states/eV per cell
Total energy: -40.05 eV/cell
Relative energy among the computed polymorphs: 0 meV per atom
Crystal system: monoclinic

Unit cell a=7.074 b=5.448 c=8.079 alpha=90.00 beta=111.89 gamma=90.00
Sites, in units of the cell vectors:
K 0.087 0.250 0.381
K 0.258 0.750 0.089
K 0.742 0.250 0.911
K 0.913 0.750 0.619
Sn 0.427 0.750 0.617
Sn 0.573 0.250 0.383
H 0.164 0.750 0.434
H 0.167 0.250 0.087
H 0.333 0.515 0.729
H 0.333 0.985 0.729
H 0.667 0.015 0.271
H 0.667 0.485 0.271
H 0.833 0.750 0.913
H 0.836 0.250 0.566



> What is the DOS at the Fermi energy in the first record?

1.57 states/eV per cell